Mg2ScTe (PBE, relaxed); crystal system = orthorhombic; raw formation energy = -309 meV per atom; calculated density = 3.93 g/cm3
1.0
-2.282 0.373 3.350
-3.666 -1.200 -2.364
0.863 -4.864 1.130
Te Mg Sc
1 2 1
direct
0.000 0.500 0.500 Te
0.500 0.500 0.000 Mg
0.000 0.000 0.000 Mg
0.500 0.000 0.500 Sc

=====

MgSc4Te (PBE, relaxed); crystal system = cubic; raw formation energy = 90 meV per atom; calculated density = 3.66 g/cm3
1.0
-5.857 -1.022 0.550
-3.847 4.566 -0.067
-3.620 0.785 -4.683
Mg Sc Te
1 4 1
direct
0.000 0.000 0.000 Mg
0.374 0.374 0.878 Sc
0.878 0.374 0.374 Sc
0.374 0.374 0.374 Sc
0.374 0.878 0.374 Sc
0.750 0.750 0.750 Te

=====

MgScTe2 (PBE, relaxed); crystal system = tetragonal; raw formation energy = -711 meV per atom; calculated density = 5.42 g/cm3
1.0
-0.691 2.635 2.482
-3.585 -0.140 -0.845
-1.012 -5.107 5.140
Sc Te Mg
1 2 1
direct
0.500 0.500 0.750 Sc
0.000 0.000 0.986 Te
0.000 0.000 0.514 Te
0.500 0.500 0.250 Mg

=====

MgScTe2 (PBE, relaxed); crystal system = tetragonal; raw formation energy = -652 meV per atom; calculated density = 5.46 g/cm3
1.0
5.168 0.000 0.000
0.000 5.168 0.000
0.000 0.000 3.697
Te Mg Sc
2 1 1
direct
0.500 0.500 0.000 Te
0.000 0.000 0.000 Te
0.500 0.000 0.500 Mg
0.000 0.500 0.500 Sc

=====

MgSc2Tl3Te6 (PBE, relaxed); crystal system = monoclinic; raw formation energy = -779 meV per atom; calculated density = 6.53 g/cm3
1.0
-3.732 -2.110 6.080
6.616 -3.035 -1.536
2.625 7.393 2.669
Te Sc Mg Tl
6 2 1 3
direct
0.068 0.405 0.205 Te
0.932 0.595 0.795 Te
0.269 0.269 0.797 Te
0.595 0.932 0.795 Te
0.405 0.068 0.205 Te
0.731 0.731 0.203 Te
0.667 0.333 0.000 Sc
0.333 0.667 0.000 Sc
0.000 0.000 0.000 Mg
0.167 0.833 0.500 Tl
0.500 0.500 0.500 Tl
0.833 0.167 0.500 Tl

=====

MgSc3Tl3Te8 (PBE, relaxed); crystal system = monoclinic; raw formation energy = -791 meV per atom; calculated density = 6.03 g/cm3
1.0
-5.472 -1.612 -6.134
2.239 -6.082 5.315
-5.785 6.644 3.421
Te Sc Tl Mg
8 3 3 1
direct
0.728 0.967 0.706 Te
0.239 0.478 0.706 Te
0.735 0.471 0.706 Te
0.265 0.529 0.294 Te
0.272 0.033 0.294 Te
0.761 0.033 0.294 Te
0.761 0.522 0.294 Te
0.239 0.967 0.706 Te
0.500 0.000 0.500 Sc
0.000 0.500 0.500 Sc
0.500 0.500 0.500 Sc
0.000 0.500 0.000 Tl
0.500 0.500 0.000 Tl
0.000 0.000 0.000 Tl
0.000 0.000 0.500 Mg

=====

Question: Among the records above, which one has the highest raw formation energy?
Answer: MgSc4Te

=====

Question: What is the formula in the sixth record?
Answer: MgSc3Tl3Te8